No. 1
# TbPm5Pr2Tm | Alexandria via LeMat-Bulk | PBE-GGA | optimized geometry
data_TbPm5Pr2Tm
_symmetry_space_group_name_H-M 'I 4/m c m'
_symmetry_Int_Tables_number 140
_symmetry_space_group_name_Hall '-I 4 2c'
_cell_length_a 8.645
_cell_length_b 8.645
_cell_length_c 16.601
_cell_angle_alpha 90.00
_cell_angle_beta 90.00
_cell_angle_gamma 90.00
loop_
_atom_site_label
_atom_site_type_symbol
_atom_site_fract_x
_atom_site_fract_y
_atom_site_fract_z
Tb1 Tb 0.000 0.000 0.250
Pm1 Pm 0.000 0.000 0.000
Pm2 Pm 0.218 0.282 0.143
Pr1 Pr 0.121 0.379 0.500
Tm1 Tm 0.000 0.500 0.250
# - Uncorrected energy: -4.440 eV/atom

***

No. 2
# TbPmPr2Tm2 | Alexandria via LeMat-Bulk | PBE-GGA | optimized geometry
data_TbPmPr2Tm2
_symmetry_space_group_name_H-M 'P m c 21'
_symmetry_Int_Tables_number 26
_cell_length_a 5.668
_cell_length_b 10.218
_cell_length_c 6.886
_cell_angle_alpha 90.00
_cell_angle_beta 90.00
_cell_angle_gamma 90.00
loop_
_symmetry_equiv_pos_as_xyz
'x,y,z'
'-x,-y,z+1/2'
'-x,y,z'
'x,-y,z+1/2'
loop_
_atom_site_label
_atom_site_type_symbol
_atom_site_fract_x
_atom_site_fract_y
_atom_site_fract_z
Tb1 Tb 0.000 0.026 0.000
Pm1 Pm 0.500 0.194 0.741
Pr1 Pr 0.000 0.299 0.352
Pr2 Pr 0.500 0.473 0.089
Tm1 Tm 0.000 0.368 0.843
Tm2 Tm 0.500 0.126 0.249
# - Uncorrected energy: -4.575 eV/atom

***

No. 3
# Tb2PmPrTm | Alexandria via LeMat-Bulk | PBE-GGA | optimized geometry
data_Tb2PmPrTm
_symmetry_space_group_name_H-M 'C m c m'
_symmetry_Int_Tables_number 63
_symmetry_space_group_name_Hall '-C 2c 2'
_cell_length_a 8.445
_cell_length_b 11.591
_cell_length_c 7.185
_cell_angle_alpha 90.00
_cell_angle_beta 90.00
_cell_angle_gamma 90.00
loop_
_atom_site_label
_atom_site_type_symbol
_atom_site_fract_x
_atom_site_fract_y
_atom_site_fract_z
Tb1 Tb 0.187 0.000 0.000
Pm1 Pm 0.000 0.498 0.250
Pr1 Pr 0.000 0.230 0.250
Tm1 Tm 0.000 0.222 0.750
# - Uncorrected energy: -4.266 eV/atom

***

No. 4
# Tb4PmPrTm2 | Alexandria via LeMat-Bulk | PBE-GGA | optimized geometry
data_Tb4PmPrTm2
_symmetry_space_group_name_H-M 'C 1 2/m 1'
_symmetry_Int_Tables_number 12
_cell_length_a 12.369
_cell_length_b 7.145
_cell_length_c 12.378
_cell_angle_alpha 90.00
_cell_angle_beta 109.48
_cell_angle_gamma 90.00
loop_
_symmetry_equiv_pos_as_xyz
'x,y,z'
'-x,-y,-z'
'-x,y,-z'
'x,-y,z'
'x+1/2,y+1/2,z'
'-x+1/2,-y+1/2,-z'
'-x+1/2,y+1/2,-z'
'x+1/2,-y+1/2,z'
loop_
_atom_site_label
_atom_site_type_symbol
_atom_site_fract_x
_atom_site_fract_y
_atom_site_fract_z
Tb1 Tb 0.001 0.249 0.253
Tb2 Tb 0.249 0.000 0.746
Tb3 Tb 0.250 0.000 0.253
Pm1 Pm 0.000 0.500 0.000
Pm2 Pm 0.000 0.500 0.500
Pr1 Pr 0.250 0.250 0.000
Tm1 Tm 0.000 0.000 0.000
Tm2 Tm 0.000 0.000 0.500
Tm3 Tm 0.250 0.250 0.500
# - Uncorrected energy: -4.607 eV/atom

***

No. 5
# Tb2Pm2PrTm | Alexandria via LeMat-Bulk | PBE-GGA | optimized geometry
data_Tb2Pm2PrTm
_symmetry_space_group_name_H-M 'P m m a'
_symmetry_Int_Tables_number 51
_cell_length_a 7.055
_cell_length_b 5.686
_cell_length_c 9.855
_cell_angle_alpha 90.00
_cell_angle_beta 90.00
_cell_angle_gamma 90.00
loop_
_symmetry_equiv_pos_as_xyz
'x,y,z'
'-x,-y,-z'
'-x+1/2,-y,z'
'x+1/2,y,-z'
'x+1/2,-y,-z'
'-x+1/2,y,z'
'-x,y,-z'
'x,-y,z'
loop_
_atom_site_label
_atom_site_type_symbol
_atom_site_fract_x
_atom_site_fract_y
_atom_site_fract_z
Tb1 Tb 0.250 0.000 0.162
Tb2 Tb 0.250 0.500 0.673
Pm1 Pm 0.000 0.500 0.000
Pm2 Pm 0.250 0.000 0.823
Pr1 Pr 0.250 0.500 0.345
Tm1 Tm 0.000 0.000 0.500
# - Uncorrected energy: -4.607 eV/atom

***

No. 6
# TbPm3Pr2Tm6 | Alexandria via LeMat-Bulk | PBE-GGA | optimized geometry
data_TbPm3Pr2Tm6
_symmetry_space_group_name_H-M 'C 1 2/m 1'
_symmetry_Int_Tables_number 12
_cell_length_a 6.203
_cell_length_b 10.741
_cell_length_c 11.719
_cell_angle_alpha 90.00
_cell_angle_beta 100.13
_cell_angle_gamma 90.00
loop_
_symmetry_equiv_pos_as_xyz
'x,y,z'
'-x,-y,-z'
'-x,y,-z'
'x,-y,z'
'x+1/2,y+1/2,z'
'-x+1/2,-y+1/2,-z'
'-x+1/2,y+1/2,-z'
'x+1/2,-y+1/2,z'
loop_
_atom_site_label
_atom_site_type_symbol
_atom_site_fract_x
_atom_site_fract_y
_atom_site_fract_z
Tb1 Tb 0.000 0.000 0.000
Pm1 Pm 0.000 0.167 0.500
Pm2 Pm 0.000 0.500 0.500
Pr1 Pr 0.000 0.334 0.000
Tm1 Tm 0.249 0.000 0.749
Tm2 Tm 0.250 0.166 0.250
# - Uncorrected energy: -4.589 eV/atom